# 1
16
Lattice="7.938 0.000 0.000 0.000 6.893 0.000 0.000 0.000 5.794" Properties=species:S:1:pos:R:3 comment="PBE-GGA Sr3WN4, relaxed" de_polymorph_ev_per_atom=0.000 mass_density_g_cm3=5.27 crystal_system=orthorhombic e_form_raw_ev_per_atom=-0.96 pbc="T T T"
Sr 0.000 0.988 0.000
Sr 1.938 2.244 2.890
Sr 2.031 4.648 5.787
Sr 3.969 5.905 2.897
Sr 5.907 4.648 5.787
Sr 6.000 2.244 2.890
W 0.000 5.661 2.727
W 3.969 1.232 5.624
N 0.000 0.617 3.204
N 0.000 5.625 0.859
N 1.613 4.768 3.241
N 2.356 2.125 0.344
N 3.969 1.268 3.756
N 3.969 6.276 0.307
N 5.582 2.125 0.344
N 6.325 4.768 3.241

=====

# 2
5
Lattice="3.169 0.000 0.000 0.000 4.042 0.000 -0.008 0.000 5.327" Properties=species:S:1:pos:R:3 comment="PBE-GGA SrWN3, relaxed" mass_density_g_cm3=7.63 crystal_system=monoclinic e_form_raw_ev_per_atom=-0.39 pbc="T T T"
Sr 0.000 0.000 0.000
W 1.576 2.021 3.003
N 1.576 2.021 4.816
N 3.160 0.722 2.541
N 3.160 3.321 2.541

=====

# 3
12
Lattice="4.980 -3.420 0.000 4.980 3.420 0.000 -0.008 0.000 5.606" Properties=species:S:1:pos:R:3 comment="PBE-GGA Sr2WN3, relaxed" de_polymorph_ev_per_atom=0.075 mass_density_g_cm3=6.98 crystal_system=monoclinic e_form_raw_ev_per_atom=-0.78 pbc="T T T"
Sr 1.692 1.071 1.399
Sr 1.688 -1.071 4.202
Sr 8.263 1.071 1.404
Sr 8.260 -1.071 4.207
W 4.978 0.650 1.402
W 4.974 -0.650 4.205
N 4.978 2.487 1.402
N 3.569 -0.001 5.606
N 3.573 0.001 2.803
N 6.383 0.001 0.000
N 6.379 -0.001 2.803
N 4.974 -2.487 4.205

=====

# 4
16
Lattice="7.669 0.000 0.000 0.000 6.983 0.000 0.000 0.000 5.646" Properties=species:S:1:pos:R:3 comment="PBE-GGA Sr2YWN4, relaxed" mass_density_g_cm3=5.54 crystal_system=orthorhombic e_form_raw_ev_per_atom=-1.00 pbc="T T T"
Sr 1.888 1.125 0.000
Sr 1.947 5.858 2.823
Sr 5.722 5.858 2.823
Sr 5.781 1.125 0.000
Y 0.000 4.609 0.071
Y 3.834 2.374 2.894
W 0.000 2.446 3.012
W 3.834 4.537 0.189
N 0.000 2.571 4.879
N 0.000 4.236 2.339
N 1.616 1.519 2.595
N 2.219 5.464 5.418
N 3.834 2.747 5.162
N 3.834 4.412 2.056
N 5.450 5.464 5.418
N 6.053 1.519 2.595

=====

# 5
16
Lattice="5.357 0.000 0.000 0.000 5.357 0.000 0.000 0.000 7.866" Properties=species:S:1:pos:R:3 comment="PBE-GGA SrZn2WN4, relaxed" mass_density_g_cm3=6.74 crystal_system=tetragonal e_form_raw_ev_per_atom=-0.46 pbc="T T T"
Sr 0.000 0.000 0.000
Sr 2.678 2.678 3.933
Zn 0.000 2.678 1.966
Zn 0.000 2.678 5.899
Zn 2.678 0.000 1.966
Zn 2.678 0.000 5.899
W 0.000 0.000 3.933
W 2.678 2.678 0.000
N 1.079 1.079 5.045
N 1.079 4.278 2.821
N 1.599 1.599 1.112
N 1.599 3.758 6.754
N 3.758 1.599 6.754
N 3.758 3.758 1.112
N 4.278 1.079 2.821
N 4.278 4.278 5.045

=====

# 6
5
Lattice="6.401 0.000 0.000 0.000 6.401 0.000 0.000 0.000 6.401" Properties=species:S:1:pos:R:3 comment="PBE-GGA Sr3YN, relaxed" de_polymorph_ev_per_atom=1.846 mass_density_g_cm3=2.32 crystal_system=cubic e_form_raw_ev_per_atom=1.85 pbc="T T T"
Sr 0.000 0.000 3.200
Sr 0.000 3.200 0.000
Sr 3.200 0.000 0.000
Y 0.000 0.000 0.000
N 3.200 3.200 3.200

=====

# 7
22
Lattice="6.647 0.000 0.000 -1.409 8.004 0.000 -3.040 -3.228 8.391" Properties=species:S:1:pos:R:3 comment="PBE-GGA Sr3Y3N5, relaxed" mass_density_g_cm3=4.46 crystal_system=triclinic e_form_raw_ev_per_atom=-1.01 pbc="T T T"
Sr 0.361 0.225 1.700
Sr -1.853 -0.280 7.388
Sr -1.146 5.605 4.926
Sr 3.345 -0.829 3.465
Sr 4.052 5.056 1.003
Sr 1.838 4.552 6.691
Y -0.795 1.842 4.765
Y 0.403 4.156 2.266
Y -1.571 3.311 8.014
Y 3.770 1.465 0.377
Y 1.796 0.620 6.125
Y 2.994 2.934 3.627
N -1.530 3.533 3.271
N -0.211 5.881 0.965
N -0.797 -2.669 7.249
N 0.599 0.058 4.244
N 2.114 2.741 1.509
N 0.085 2.035 6.882
N 1.600 4.718 4.147
N 2.996 7.446 1.142
N 2.410 -1.105 7.426
N 3.729 1.243 5.120

=====

# 8
8
Lattice="0.000 5.164 5.164 5.164 0.000 5.164 5.164 5.164 0.000" Properties=species:S:1:pos:R:3 comment="PBE-GGA SrY2N, relaxed" mass_density_g_cm3=3.37 crystal_system=cubic e_form_raw_ev_per_atom=-0.59 pbc="T T T"
Sr 1.291 1.291 1.291
Sr 9.037 9.037 9.037
Y 5.164 2.582 2.582
Y 2.582 5.164 2.582
Y 2.582 2.582 5.164
Y 5.164 5.164 5.164
N 3.873 3.873 3.873
N 6.455 6.455 6.455

=====

# 9
12
Lattice="3.571 0.000 0.000 -1.785 3.093 0.000 0.000 0.000 29.179" Properties=species:S:1:pos:R:3 comment="PBE-GGA SrY2N, relaxed" mass_density_g_cm3=4.32 crystal_system=trigonal e_form_raw_ev_per_atom=-0.62 pbc="T T T"
Sr 0.000 0.000 0.000
Sr 0.000 2.062 19.453
Sr 1.785 1.031 9.726
Y 0.000 0.000 3.556
Y 0.000 0.000 25.623
Y 0.000 2.062 15.896
Y 0.000 2.062 23.009
Y 1.785 1.031 6.170
Y 1.785 1.031 13.283
N 0.000 0.000 14.589
N 0.000 2.062 4.863
N 1.785 1.031 24.316

=====

# 10
16
Lattice="6.213 0.000 0.000 0.000 6.213 0.000 0.000 0.000 6.213" Properties=species:S:1:pos:R:3 comment="PBE-GGA SrYN2, relaxed" mass_density_g_cm3=5.67 crystal_system=cubic e_form_raw_ev_per_atom=-0.25 pbc="T T T"
Sr 0.000 0.000 0.000
Sr 0.000 3.106 3.106
Sr 3.106 0.000 3.106
Sr 3.106 3.106 0.000
Y 0.000 0.000 3.106
Y 0.000 3.106 0.000
Y 3.106 0.000 0.000
Y 3.106 3.106 3.106
N 1.553 1.553 1.553
N 1.553 1.553 4.659
N 1.553 4.659 1.553
N 1.553 4.659 4.659
N 4.659 1.553 1.553
N 4.659 1.553 4.659
N 4.659 4.659 1.553
N 4.659 4.659 4.659

=====

# 11
12
Lattice="3.699 0.000 0.000 -1.849 3.203 0.000 0.000 0.000 31.150" Properties=species:S:1:pos:R:3 comment="PBE-GGA Sr2YN, relaxed" mass_density_g_cm3=3.75 crystal_system=trigonal e_form_raw_ev_per_atom=-0.22 pbc="T T T"
Sr 0.000 0.000 3.784
Sr 0.000 0.000 27.366
Sr 0.000 2.136 16.983
Sr 0.000 2.136 24.551
Sr 1.849 1.068 6.599
Sr 1.849 1.068 14.167
Y 0.000 0.000 0.000
Y 0.000 2.136 20.767
Y 1.849 1.068 10.383
N 0.000 0.000 15.575
N 0.000 2.136 5.192
N 1.849 1.068 25.958

=====

# 12
5
Lattice="5.474 0.000 0.000 0.000 5.474 0.000 0.000 0.000 5.474" Properties=species:S:1:pos:R:3 comment="PBE-GGA Sr3YN, relaxed" de_polymorph_ev_per_atom=0.000 mass_density_g_cm3=3.70 crystal_system=cubic e_form_raw_ev_per_atom=0.01 pbc="T T T"
Sr 0.000 0.000 2.737
Sr 0.000 2.737 0.000
Sr 2.737 0.000 0.000
Y 2.737 2.737 2.737
N 0.000 0.000 0.000